# 1
Computed, not measured: a geometry-optimized TcAsSe structure at the PBE level of DFT.

a b c (Å): 4.319 4.319 4.319
angles (deg): 60.00 60.00 60.00
Fractional positions:
As 0.750 0.750 0.750
Tc 0.500 0.500 0.500
Se 0.000 0.000 0.000

Computed properties:
Energy relative to the elements, uncorrected ... 706 meV per atom
Space-group type ... F-43m, No. 216
E ... -0.201 Ha/atom
M_tot ... 0.01 μB per formula unit
Theoretical density ... 7.3 g/cm³
Relative energy among the computed polymorphs ... 1024.4 meV per atom



# 2
Computed, not measured: a geometry-optimized CdCuCl5 structure at the PBE level of DFT.

a b c (Å): 6.287 6.287 12.349
angles (deg): 59.44 59.44 76.65
Fractional positions:
Cd 0.709 0.291 0.250
Cd 0.291 0.709 0.750
Cu 0.000 0.000 0.000
Cu 0.000 0.000 0.500
Cl 0.656 0.769 0.152
Cl 0.329 0.780 0.497
Cl 0.769 0.656 0.652
Cl 0.020 0.980 0.250
Cl 0.220 0.671 0.003
Cl 0.780 0.329 0.997
Cl 0.980 0.020 0.750
Cl 0.231 0.344 0.348
Cl 0.671 0.220 0.503
Cl 0.344 0.231 0.848

Computed properties:
Energy relative to the elements, uncorrected ... -591 meV per atom
Space-group type ... C2/c, No. 15
E ... -0.096 Ha/atom
M_tot ... 0.00 μB per formula unit
Theoretical density ... 3.2 g/cm³



# 3
Computed, not measured: a geometry-optimized YTl2Pt structure at the PBE level of DFT.

a b c (Å): 5.036 5.036 5.036
angles (deg): 60.00 60.00 60.00
Fractional positions:
Y 0.000 0.000 0.000
Tl 0.250 0.250 0.250
Tl 0.750 0.750 0.750
Pt 0.500 0.500 0.500

Computed properties:
Space-group type ... Fm-3m, No. 225
E ... -0.169 Ha/atom
M_tot ... 0.00 μB per formula unit
Theoretical density ... 12.7 g/cm³
Energy relative to the elements ... -26.8 kJ/mol of atoms